Computed, not measured: a geometry-optimized TbSm6Er2Sc structure at the PBE-GGA level of DFT.

For the total magnetic moment, the calculation gives 0.0 μB per formula unit. The formation energy is 0.128 eV/atom. The value obtained for the density of states at the Fermi level is 1.415 states/eV per atom.

a b c (Å): 8.846 8.846 9.364
angles (deg): 93.28 93.28 117.44
Element x y z (fractional)
Tb  0.026  0.974  0.750
Tb  0.974  0.026  0.250
Sm  0.004  0.440  0.307
Sm  0.123  0.765  0.052
Sm  0.235  0.877  0.448
Sm  0.290  0.512  0.887
Sm  0.440  0.004  0.807
Sm  0.488  0.710  0.613
Sm  0.512  0.290  0.387
Sm  0.560  0.996  0.193
Sm  0.710  0.488  0.113
Sm  0.765  0.123  0.552
Sm  0.877  0.235  0.948
Sm  0.996  0.560  0.693
Er  0.205  0.305  0.549
Er  0.305  0.205  0.049
Er  0.695  0.795  0.951
Er  0.795  0.695  0.451
Sc  0.419  0.581  0.250
Sc  0.581  0.419  0.750

Computed, not measured: a geometry-optimized TbSmErSc structure at the PBE-GGA level of DFT.

For the total magnetic moment, the calculation gives 0.0 μB per formula unit. The formation energy is 0.097 eV/atom. The value obtained for the density of states at the Fermi level is 1.724 states/eV per atom. The value obtained for the distance to the lowest polymorph of the same formula is 0.0000 eV/atom.

a b c (Å): 3.762 5.616 11.497
angles (deg): 90.00 90.00 90.00
Element x y z (fractional)
Tb  0.000  0.000  0.000
Tb  0.500  0.500  0.500
Sm  0.000  0.500  0.228
Sm  0.500  0.000  0.728
Er  0.000  0.000  0.461
Er  0.500  0.500  0.961
Sc  0.000  0.500  0.732
Sc  0.500  0.000  0.232

Computed, not measured: a geometry-optimized Tb6SmErSc2 structure at the PBE-GGA level of DFT.

For the total magnetic moment, the calculation gives 0.0 μB per formula unit. The formation energy is 0.125 eV/atom. The value obtained for the density of states at the Fermi level is 1.610 states/eV per atom.

a b c (Å): 8.636 8.636 9.352
angles (deg): 93.38 93.38 116.94
Element x y z (fractional)
Tb  0.012  0.556  0.180
Tb  0.115  0.759  0.554
Tb  0.241  0.885  0.946
Tb  0.298  0.511  0.384
Tb  0.444  0.988  0.320
Tb  0.489  0.702  0.116
Tb  0.511  0.298  0.884
Tb  0.556  0.012  0.680
Tb  0.702  0.489  0.616
Tb  0.759  0.115  0.054
Tb  0.885  0.241  0.446
Tb  0.988  0.444  0.820
Sm  0.031  0.969  0.250
Sm  0.969  0.031  0.750
Er  0.409  0.591  0.750
Er  0.591  0.409  0.250
Sc  0.200  0.304  0.051
Sc  0.304  0.200  0.551
Sc  0.696  0.800  0.449
Sc  0.800  0.696  0.949

Computed, not measured: a geometry-optimized TbSm6Er3Sc2 structure at the PBE-GGA level of DFT.

For the total magnetic moment, the calculation gives 0.0 μB per formula unit. The formation energy is 0.035 eV/atom. The value obtained for the density of states at the Fermi level is 1.177 states/eV per atom.

a b c (Å): 6.136 6.136 11.586
angles (deg): 95.05 95.05 119.97
Element x y z (fractional)
Tb  0.000  0.000  0.000
Sm  0.082  0.419  0.246
Sm  0.254  0.254  0.754
Sm  0.419  0.082  0.246
Sm  0.581  0.918  0.754
Sm  0.746  0.746  0.246
Sm  0.918  0.581  0.754
Er  0.167  0.833  0.500
Er  0.500  0.500  0.500
Er  0.833  0.167  0.500
Sc  0.334  0.666  0.000
Sc  0.666  0.334  0.000

Computed, not measured: a geometry-optimized Tb6SmEr2Sc structure at the PBE-GGA level of DFT.

For the total magnetic moment, the calculation gives 0.0 μB per formula unit. The formation energy is 0.128 eV/atom. The value obtained for the density of states at the Fermi level is 1.388 states/eV per atom.

a b c (Å): 8.719 8.719 9.357
angles (deg): 93.38 93.38 117.10
Element x y z (fractional)
Tb  0.002  0.560  0.189
Tb  0.125  0.757  0.555
Tb  0.243  0.875  0.945
Tb  0.292  0.511  0.385
Tb  0.440  0.998  0.311
Tb  0.489  0.708  0.115
Tb  0.511  0.292  0.885
Tb  0.560  0.002  0.689
Tb  0.708  0.489  0.615
Tb  0.757  0.125  0.055
Tb  0.875  0.243  0.445
Tb  0.998  0.440  0.811
Sm  0.025  0.975  0.250
Sm  0.975  0.025  0.750
Er  0.204  0.307  0.049
Er  0.307  0.204  0.549
Er  0.693  0.796  0.451
Er  0.796  0.693  0.951
Sc  0.415  0.585  0.750
Sc  0.585  0.415  0.250

Computed, not measured: a geometry-optimized Tb3SmErSc structure at the PBE-GGA level of DFT.

For the total magnetic moment, the calculation gives 0.0 μB per formula unit. The formation energy is 0.035 eV/atom. The value obtained for the density of states at the Fermi level is 1.466 states/eV per atom.

a b c (Å): 7.846 7.846 9.968
angles (deg): 90.00 90.00 143.15
Element x y z (fractional)
Tb  0.167  0.833  0.000
Tb  0.167  0.833  0.500
Tb  0.331  0.669  0.750
Tb  0.669  0.331  0.250
Tb  0.833  0.167  0.000
Tb  0.833  0.167  0.500
Sm  0.003  0.997  0.750
Sm  0.997  0.003  0.250
Er  0.500  0.500  0.000
Er  0.500  0.500  0.500
Sc  0.332  0.668  0.250
Sc  0.668  0.332  0.750